Compound: Ni4SnS
Source: Alexandria via LeMat-Bulk
Functional: PBE-GGA
Structure: relaxed

Space-group type = P-1 (2)
Raw formation energy = -0.12 eV per atom

a b c (Å): 4.465 5.949 6.776
angles (deg): 100.84 108.78 97.14
Fractional coordinates of all 12 atoms:
Ni  0.001  0.469  0.178
Ni  0.162  0.886  0.666
Ni  0.211  0.893  0.155
Ni  0.367  0.315  0.657
Ni  0.633  0.685  0.343
Ni  0.789  0.107  0.845
Ni  0.838  0.114  0.334
Ni  0.999  0.531  0.822
Sn  0.391  0.259  0.039
Sn  0.609  0.741  0.961
S  0.000  0.500  0.500
S  0.500  0.000  0.500

Compound: Ba2ReBr
Source: Alexandria via LeMat-Bulk
Functional: PBE-GGA
Structure: relaxed

Space-group type = F-43m (216)
Raw formation energy = 0.75 eV per atom
Polymorph energy (0 for the lowest one) = 0.672 eV/atom

a b c (Å): 5.631 5.631 5.631
angles (deg): 60.00 60.00 60.00
Fractional coordinates of all 4 atoms:
Ba  0.000  0.000  0.000
Ba  0.250  0.250  0.250
Re  0.750  0.750  0.750
Br  0.500  0.500  0.500

Compound: BaIn2Tc
Source: Alexandria via LeMat-Bulk
Functional: PBE-GGA
Structure: relaxed

Space-group type = P4/mmm (123)
Formation enthalpy at 0 K = 681.4 meV per atom
Polymorph energy (0 for the lowest one) = 0.550 eV/atom

a b c (Å): 5.337 5.337 3.874
angles (deg): 90.00 90.00 90.00
Fractional coordinates of all 4 atoms:
Ba  0.000  0.000  0.000
In  0.000  0.500  0.500
In  0.500  0.000  0.500
Tc  0.500  0.500  0.000

Compound: Ce8C4Cl3O
Source: Alexandria via LeMat-Bulk
Functional: PBE-GGA
Structure: relaxed

Space-group type = R-3m (166)
Raw formation energy = -1.06 eV per atom

a b c (Å): 7.701 7.701 7.701
angles (deg): 58.21 58.21 58.21
Fractional coordinates of all 16 atoms:
Ce  0.226  0.747  0.747
Ce  0.237  0.237  0.237
Ce  0.253  0.253  0.774
Ce  0.253  0.774  0.253
Ce  0.747  0.226  0.747
Ce  0.747  0.747  0.226
Ce  0.763  0.763  0.763
Ce  0.774  0.253  0.253
C  0.000  0.000  0.500
C  0.000  0.500  0.000
C  0.500  0.000  0.000
C  0.500  0.500  0.500
Cl  0.000  0.500  0.500
Cl  0.500  0.000  0.500
Cl  0.500  0.500  0.000
O  0.000  0.000  0.000

Compound: MgAlNi
Source: Alexandria via LeMat-Bulk
Functional: PBE-GGA
Structure: relaxed

Space-group type = I4mm (107)
Formation enthalpy at 0 K = -316.2 meV per atom

a b c (Å): 5.522 5.522 5.522
angles (deg): 148.77 148.77 44.75
Fractional coordinates of all 3 atoms:
Mg  0.000  0.000  0.000
Al  0.712  0.712  0.000
Ni  0.333  0.333  0.000

Compound: Ho5Se4N
Source: Alexandria via LeMat-Bulk
Functional: PBE-GGA
Structure: relaxed

Space-group type = I4/mmm (139)
Raw formation energy = -1.65 eV per atom

a b c (Å): 14.532 14.532 14.532
angles (deg): 164.46 164.46 22.05
Fractional coordinates of all 10 atoms:
Ho  0.000  0.000  0.000
Ho  0.207  0.207  0.000
Ho  0.421  0.421  0.000
Ho  0.579  0.579  0.000
Ho  0.793  0.793  0.000
Se  0.100  0.100  0.000
Se  0.309  0.309  0.000
Se  0.691  0.691  0.000
Se  0.900  0.900  0.000
N  0.500  0.500  0.000

Compound: Al3SeS3
Source: Alexandria via LeMat-Bulk
Functional: PBE-GGA
Structure: relaxed

Space-group type = Cmcm (63)
Raw formation energy = -0.73 eV per atom

a b c (Å): 8.353 8.353 5.114
angles (deg): 90.00 90.00 119.95
Fractional coordinates of all 14 atoms:
Al  0.162  0.324  0.750
Al  0.162  0.838  0.750
Al  0.324  0.162  0.250
Al  0.676  0.838  0.750
Al  0.838  0.162  0.250
Al  0.838  0.676  0.250
Se  0.333  0.667  0.750
Se  0.667  0.333  0.250
S  0.160  0.840  0.250
S  0.161  0.320  0.250
S  0.320  0.161  0.750
S  0.680  0.839  0.250
S  0.839  0.680  0.750
S  0.840  0.160  0.750

Compound: KTa2Cu
Source: Alexandria via LeMat-Bulk
Functional: PBE-GGA
Structure: relaxed

Space-group type = Immm (71)
Formation enthalpy at 0 K = 757.4 meV per atom
Polymorph energy (0 for the lowest one) = 0.177 eV/atom

a b c (Å): 6.555 6.555 6.555
angles (deg): 156.59 132.64 53.49
Fractional coordinates of all 4 atoms:
K  0.000  0.000  0.000
Ta  0.291  0.791  0.500
Ta  0.709  0.209  0.500
Cu  0.500  0.500  0.000

Compound: Te3IrPt
Source: Alexandria via LeMat-Bulk
Functional: PBE-GGA
Structure: relaxed

Space-group type = Pm-3m (221)
Raw formation energy = 0.93 eV per atom
Polymorph energy (0 for the lowest one) = 0.000 eV/atom

a b c (Å): 5.176 5.176 5.176
angles (deg): 90.00 90.00 90.00
Fractional coordinates of all 5 atoms:
Te  0.000  0.000  0.500
Te  0.000  0.500  0.000
Te  0.500  0.000  0.000
Ir  0.000  0.000  0.000
Pt  0.500  0.500  0.500

Compound: YRu2Se
Source: Alexandria via LeMat-Bulk
Functional: PBE-GGA
Structure: relaxed

Space-group type = P4/mmm (123)
Raw formation energy = -0.04 eV per atom

a b c (Å): 3.300 3.300 6.418
angles (deg): 90.00 90.00 90.00
Fractional coordinates of all 4 atoms:
Y  0.000  0.000  0.000
Ru  0.500  0.500  0.276
Ru  0.500  0.500  0.724
Se  0.000  0.000  0.500

Compound: Na4TbSc3S8
Source: Alexandria via LeMat-Bulk
Functional: PBE-GGA
Structure: relaxed

Space-group type = R-3m (166)
Raw formation energy = -1.76 eV per atom

a b c (Å): 7.983 7.983 7.983
angles (deg): 57.37 57.37 57.37
Fractional coordinates of all 16 atoms:
Na  0.000  0.000  0.000
Na  0.000  0.500  0.500
Na  0.500  0.000  0.500
Na  0.500  0.500  0.000
Tb  0.500  0.500  0.500
Sc  0.000  0.000  0.500
Sc  0.000  0.500  0.000
Sc  0.500  0.000  0.000
S  0.228  0.746  0.746
S  0.238  0.238  0.238
S  0.254  0.254  0.772
S  0.254  0.772  0.254
S  0.746  0.228  0.746
S  0.746  0.746  0.228
S  0.762  0.762  0.762
S  0.772  0.254  0.254

Compound: Sr2BeNbO6
Source: Alexandria via LeMat-Bulk
Functional: PBE-GGA
Structure: relaxed

Space-group type = P-3m1 (164)
Raw formation energy = -2.37 eV per atom

a b c (Å): 5.586 5.586 4.884
angles (deg): 90.00 90.00 120.00
Fractional coordinates of all 10 atoms:
Sr  0.333  0.667  0.329
Sr  0.667  0.333  0.671
Be  0.000  0.000  0.500
Nb  0.000  0.000  0.000
O  0.156  0.313  0.730
O  0.156  0.844  0.730
O  0.313  0.156  0.270
O  0.687  0.844  0.730
O  0.844  0.156  0.270
O  0.844  0.687  0.270

It is found that the E values, taken in the order of the records, are -5.33, -3.74, -3.76, -6.99, -4.02, -6.17, -4.60, -6.47, -3.93, -7.16, -5.63, -7.06 eV per atom.